A plane-wave DFT calculation with PBE was carried out for a relaxed structure of ReMoAu2.

Formation energy from the elements: 368 meV per atom

Cell and atoms, written as POSCAR:
```
ReMoAu2
1.0
4.971 -0.001 -0.006
1.672 4.681 0.006
-3.164 -2.563 2.851
Re Au Mo
1 2 1
direct
0.270 0.770 0.500 Re
0.004 0.004 0.000 Au
0.746 0.246 0.500 Au
0.480 0.480 0.000 Mo
```